No. 1
Below is SnTe2H2 after structural relaxation, with properties calculated at the PBE-GGA level.

Unit cell a=7.2116 b=4.7303 c=7.8329 alpha=90.00 beta=109.34 gamma=90.00
Closest atoms and distances in Å follow each position.
Space group C2/m (No. 12)
Asymmetric unit:
Sn 0.0000 0.0000 0.0000 (multiplicity 2)  4 H 3.00, 6 Te 3.24-3.29
Te 0.2470 0.5000 0.2730 (multiplicity 4)  1 H 1.70
H 0.0004 0.5000 0.2359 (multiplicity 4)  1 Te 1.70

Calculated total energy in Ha/atom: -0.119
Offset from the most stable computed form in meV/atom: 0

No. 2
Below is TbYCd17 after structural relaxation, with properties calculated at the PBE-GGA level.

Unit cell a=10.0488 b=10.0488 c=14.9983 alpha=90.00 beta=90.00 gamma=120.00
Closest atoms and distances in Å follow each position.
Space group R3m (No. 160, hexagonal axes)
Asymmetric unit:
Tb 0.0000 0.0000 0.0000 (multiplicity 3)  13 Cd 3.34-3.49
Y 0.0000 0.0000 0.3465 (multiplicity 3)  16 Cd 3.50-3.84
Cd 0.0000 0.0000 0.5837 (multiplicity 3)  4 Cd 2.88-2.90
Cd 0.0000 0.0000 0.7773 (multiplicity 3)  4 Cd 2.90-2.98
Cd 0.0017 0.3069 0.6756 (multiplicity 18)  8 Cd 2.91-3.20
Cd 0.0242 0.5121 0.5296 (multiplicity 9)  7 Cd 2.85-3.00
Cd 0.0341 0.5170 0.1691 (multiplicity 9)  9 Cd 2.88-3.12
Cd 0.0644 0.5322 0.8298 (multiplicity 9)  6 Cd 2.85-3.12

Calculated total energy in Ha/atom: -0.056
Energy relative to the elements in kJ per mole of atoms: -11

Look up the calculated total energy of the second one.
-0.056 Ha/atom